{
  "formula": "Pt2Se",
  "functional": "PBE",
  "state": "optimized geometry",
  "spacegroup": "Fd-3m (227)",
  "energy_ev_per_atom": -4.16,
  "lattice": [[0.000, 5.351, 5.351], [5.351, 0.000, 5.351], [5.351, 5.351, 0.000]],
  "species": ["Pt", "Pt", "Pt", "Pt", "Se", "Se"],
  "fractional_positions": [[0.000, 0.000, 0.000], [0.000, 0.000, 0.500], [0.000, 0.500, 0.000], [0.500, 0.000, 0.000], [0.125, 0.125, 0.125], [0.875, 0.875, 0.875]]
}